VASP calculation (PBE) on crystalline Na2BeGa2 at its relaxed geometry.

Unit cell a=6.3224 b=6.3224 c=5.0548 alpha=90.00 beta=90.00 gamma=90.00
Closest atoms and distances in Å follow each position.
Atoms (fractional coordinates):
Na (0.6752, 0.8248, 0.5000)  6 Ga 2.98-3.26, 5 Na 3.13-3.30
Na (0.3248, 0.1752, 0.5000)  6 Ga 2.98-3.26, 5 Na 3.13-3.30
Na (0.1752, 0.6752, 0.5000)  6 Ga 2.98-3.26, 5 Na 3.13-3.30
Na (0.8248, 0.3248, 0.5000)  6 Ga 2.98-3.26, 5 Na 3.13-3.30
Be (0.5000, 0.5000, 0.0000)  4 Ga 2.41
Be (0.0000, 0.0000, 0.0000)  4 Ga 2.41
Ga (0.1490, 0.3510, 0.0000)  2 Be 2.41, 1 Ga 2.67
Ga (0.6490, 0.1490, 0.0000)  2 Be 2.41, 1 Ga 2.67
Ga (0.8510, 0.6490, 0.0000)  2 Be 2.41, 1 Ga 2.67
Ga (0.3510, 0.8510, 0.0000)  2 Be 2.41, 1 Ga 2.67

Properties
- formation enthalpy at 0 K (eV/atom) = 0.156
- total magnetic moment (μB/f.u.) = 0.0
- ΔE to the lowest computed polymorph (meV/atom) = 0.0


VASP calculation (PBE) on crystalline NaTlZn at its relaxed geometry.

Unit cell a=3.7945 b=3.7945 c=5.7999 alpha=109.09 beta=109.09 gamma=90.00
Closest atoms and distances in Å follow each position.
Atoms (fractional coordinates):
Na (0.0040, 0.0040, 0.0081)  5 Tl 3.20-3.31, 5 Zn 3.24-3.32
Tl (0.3148, 0.3148, 0.6297)  4 Zn 3.02, 5 Na 3.20-3.31
Zn (0.6811, 0.6811, 0.3622)  4 Tl 3.02, 5 Na 3.24-3.32

Properties
- formation enthalpy at 0 K (eV/atom) = 0.024
- total magnetic moment (μB/f.u.) = 0.0
- ΔE to the lowest computed polymorph (meV/atom) = 50.8


VASP calculation (PBE) on crystalline Ir12Os6Ru at its relaxed geometry.

Unit cell a=6.5774 b=6.5774 c=6.5774 alpha=90.26 beta=90.26 gamma=90.26
Closest atoms and distances in Å follow each position.
Atoms (fractional coordinates):
Os (0.7173, 0.2604, 0.1107)  8 Ir 2.59-2.80, 1 Ru 2.64, 2 Os 2.70
Os (0.2827, 0.7396, 0.8893)  8 Ir 2.59-2.80, 1 Ru 2.64, 2 Os 2.70
Os (0.1107, 0.7173, 0.2604)  8 Ir 2.59-2.80, 1 Ru 2.64, 2 Os 2.70
Os (0.7396, 0.8893, 0.2827)  8 Ir 2.59-2.80, 1 Ru 2.64, 2 Os 2.70
Os (0.2604, 0.1107, 0.7173)  8 Ir 2.59-2.80, 1 Ru 2.64, 2 Os 2.70
Os (0.8893, 0.2827, 0.7396)  8 Ir 2.59-2.80, 1 Ru 2.64, 2 Os 2.70
Ru (0.0000, 0.0000, 0.0000)  6 Os 2.64, 6 Ir 2.66
Ir (0.4827, 0.5640, 0.1985)  4 Os 2.59-2.77, 5 Ir 2.63-2.87
Ir (0.3711, 0.0391, 0.1575)  1 Ru 2.66, 5 Ir 2.69-2.87, 4 Os 2.70-2.80
Ir (0.9609, 0.8425, 0.6289)  1 Ru 2.66, 5 Ir 2.69-2.87, 4 Os 2.70-2.80
Ir (0.8425, 0.6289, 0.9609)  1 Ru 2.66, 5 Ir 2.69-2.87, 4 Os 2.70-2.80
Ir (0.5173, 0.4360, 0.8015)  4 Os 2.59-2.77, 5 Ir 2.63-2.87
Ir (0.6289, 0.9609, 0.8425)  1 Ru 2.66, 5 Ir 2.69-2.87, 4 Os 2.70-2.80
Ir (0.1985, 0.4827, 0.5640)  4 Os 2.59-2.77, 5 Ir 2.63-2.87
Ir (0.4360, 0.8015, 0.5173)  4 Os 2.59-2.77, 5 Ir 2.63-2.87
Ir (0.1575, 0.3711, 0.0391)  1 Ru 2.66, 5 Ir 2.69-2.87, 4 Os 2.70-2.80
Ir (0.5640, 0.1985, 0.4827)  4 Os 2.59-2.77, 5 Ir 2.63-2.87
Ir (0.0391, 0.1575, 0.3711)  1 Ru 2.66, 5 Ir 2.69-2.87, 4 Os 2.70-2.80
Ir (0.8015, 0.5173, 0.4360)  4 Os 2.59-2.77, 5 Ir 2.63-2.87

Properties
- formation enthalpy at 0 K (eV/atom) = 0.275
- total magnetic moment (μB/f.u.) = 0.0


VASP calculation (PBE) on crystalline YLuMgMn at its relaxed geometry.

Unit cell a=5.1407 b=5.1407 c=5.1407 alpha=60.00 beta=60.00 gamma=60.00
Closest atoms and distances in Å follow each position.
Atoms (fractional coordinates):
Lu (0.2500, 0.2500, 0.2500)  4 Mn 3.15, 4 Mg 3.15
Mn (0.0000, 0.0000, 0.0000)  4 Lu 3.15, 4 Y 3.15
Mg (0.5000, 0.5000, 0.5000)  4 Y 3.15, 4 Lu 3.15
Y (0.7500, 0.7500, 0.7500)  4 Mg 3.15, 4 Mn 3.15

Properties
- formation enthalpy at 0 K (eV/atom) = 0.095
- total magnetic moment (μB/f.u.) = 3.3


VASP calculation (PBE) on crystalline P3RhF at its relaxed geometry.

Unit cell a=4.2428 b=4.2428 c=4.2428 alpha=90.00 beta=90.00 gamma=90.00
Closest atoms and distances in Å follow each position.
Atoms (fractional coordinates):
P (0.5000, 0.0000, 0.0000)  2 F 2.12
P (0.0000, 0.0000, 0.5000)  2 F 2.12
P (0.0000, 0.5000, 0.0000)  2 F 2.12
Rh (0.5000, 0.5000, 0.5000)  12 P 3.00
F (0.0000, 0.0000, 0.0000)  6 P 2.12

Properties
- E_form (uncorrected) (eV/atom) = 0.738
- total magnetic moment (μB/f.u.) = 0.0
- ΔE to the lowest computed polymorph (meV/atom) = 203.1


VASP calculation (PBE) on crystalline PrIn2GeTe4 at its relaxed geometry.

Unit cell a=4.4461 b=7.9573 c=7.7857 alpha=71.44 beta=90.00 gamma=90.00
Closest atoms and distances in Å follow each position.
Atoms (fractional coordinates):
Ge (0.5000, 0.5000, 0.0000)  6 Te 3.07-3.08
Pr (0.0000, 0.5000, 0.5000)  6 Te 3.17-3.18
In (0.0000, 0.0000, 0.0000)  6 Te 3.22-3.23
In (0.5000, 0.0000, 0.5000)  6 Te 3.32
Te (0.0000, 0.7306, 0.7664)  2 Ge 3.08, 1 Pr 3.18, 3 In 3.22-3.32
Te (0.0000, 0.2694, 0.2336)  2 Ge 3.08, 1 Pr 3.18, 3 In 3.22-3.32
Te (0.5000, 0.2633, 0.7559)  1 Ge 3.07, 2 Pr 3.17, 3 In 3.23-3.32
Te (0.5000, 0.7367, 0.2441)  1 Ge 3.07, 2 Pr 3.17, 3 In 3.23-3.32

Properties
- E_form (uncorrected) (eV/atom) = -0.537
- total magnetic moment (μB/f.u.) = 0.0


VASP calculation (PBE) on crystalline NaMg2In9 at its relaxed geometry.

Unit cell a=3.3646 b=10.4327 c=10.4327 alpha=120.00 beta=90.00 gamma=90.00
Closest atoms and distances in Å follow each position.
Atoms (fractional coordinates):
Na (0.0000, 0.0000, 0.0000)  2 Na 3.36, 12 In 3.61
In (0.5000, 0.6465, 0.8232)  8 In 3.19-3.37, 2 Mg 3.29
In (0.0000, 0.5000, 0.5000)  2 Mg 3.01, 2 In 3.36
In (0.5000, 0.8232, 0.6465)  8 In 3.19-3.37, 2 Mg 3.29
In (0.5000, 0.8232, 0.1768)  8 In 3.19-3.37, 2 Mg 3.29
In (0.5000, 0.1768, 0.8232)  8 In 3.19-3.37, 2 Mg 3.29
In (0.5000, 0.3535, 0.1768)  8 In 3.19-3.37, 2 Mg 3.29
In (0.5000, 0.1768, 0.3535)  8 In 3.19-3.37, 2 Mg 3.29
In (0.0000, 0.0000, 0.5000)  2 Mg 3.01, 2 In 3.36
In (0.0000, 0.5000, 0.0000)  2 Mg 3.01, 2 In 3.36
Mg (0.0000, 0.6667, 0.3333)  9 In 3.01-3.29, 2 Mg 3.36
Mg (0.0000, 0.3333, 0.6667)  9 In 3.01-3.29, 2 Mg 3.36

Properties
- formation enthalpy at 0 K (eV/atom) = -0.029
- total magnetic moment (μB/f.u.) = 0.0
- ΔE to the lowest computed polymorph (meV/atom) = 25.4